Computed, not measured: a geometry-optimized K2SrVPt structure at the PBE-GGA level of DFT.

Computed properties:
As for the crystal system: tetragonal. As for the energy of formation from the pure elements: 1.143 eV per atom.

Unit cell a=5.7543 b=5.7543 c=6.1927 alpha=90.00 beta=90.00 gamma=90.00
With the nearest neighbours (Å) after each atom.
Space group P4/mmm (No. 123)
Unique sites:
K (0.0000, 0.5000, 0.0000)  2 V 2.88
Sr (0.0000, 0.0000, 0.5000)  2 V 3.10
V (0.0000, 0.0000, 0.0000)  4 K 2.88, 2 Sr 3.10
Pt (0.5000, 0.5000, 0.5000)  4 Sr 4.07, 8 K 4.23